Entry 1:
Entry from Alexandria: an optimized crystal structure of DyGa4Cu2Rh (PBE-GGA).

Cell lengths 4.1683, 4.1683, 9.1626 Å; angles 76.85, 76.85, 60.00 degrees
Last column: nearest neighbours and their distance in Å.
Sites, in units of the cell vectors:
Rh1 0.5000 0.5000 0.5000  8 Ga 2.61-2.64
Cu1 0.2387 0.2387 0.2840  6 Ga 2.52-2.57
Ga1 0.8718 0.8718 0.3845  3 Cu 2.57, 3 Rh 2.61
Ga2 0.5997 0.5997 0.2009  3 Cu 2.52, 1 Rh 2.64
Cu2 0.7613 0.7613 0.7160  6 Ga 2.52-2.57
Dy1 0.0000 0.0000 0.0000  6 Ga 2.99
Ga3 0.4003 0.4003 0.7991  3 Cu 2.52, 1 Rh 2.64
Ga4 0.1282 0.1282 0.6155  3 Cu 2.57, 3 Rh 2.61

ΔE_f in meV per atom: -397
Space group: R-3m (166)
Total magnetization in μB/cell: 0.0
Energy in eV for the cell shown: -35.432



Entry 2:
Entry from Alexandria: an optimized crystal structure of Dy2Ga4Cu3Rh (PBE-GGA).

Cell lengths 4.0327, 4.0327, 10.6484 Å; angles 90.00, 90.00, 90.00 degrees
Last column: nearest neighbours and their distance in Å.
Sites, in units of the cell vectors:
Cu1 0.0000 0.0000 0.5000  4 Ga 2.49
Cu2 0.0000 0.5000 0.1373  5 Ga 2.40-2.49
Cu3 0.5000 0.0000 0.8627  5 Ga 2.40-2.49
Ga1 0.5000 0.0000 0.6371  3 Cu 2.40-2.49, 2 Rh 2.49
Ga2 0.5000 0.5000 0.0000  4 Cu 2.49
Ga3 0.0000 0.0000 0.0000  4 Cu 2.49
Dy1 0.0000 0.5000 0.7535  6 Cu 3.08-3.37, 8 Ga 3.11-3.31, 2 Rh 3.37
Ga4 0.0000 0.5000 0.3629  3 Cu 2.40-2.49, 2 Rh 2.49
Rh1 0.5000 0.5000 0.5000  4 Ga 2.49
Dy2 0.5000 0.0000 0.2465  6 Cu 3.08-3.37, 8 Ga 3.11-3.31, 2 Rh 3.37

ΔE_f in meV per atom: -518
Space group: P-4m2 (115)
Total magnetization in μB/cell: 0.0
Energy in eV for the cell shown: -46.136



Entry 3:
Entry from Alexandria: an optimized crystal structure of DyGa4Cu2Ru (PBE-GGA).

Cell lengths 4.1627, 4.1627, 9.2064 Å; angles 76.93, 76.93, 60.00 degrees
Last column: nearest neighbours and their distance in Å.
Sites, in units of the cell vectors:
Cu1 0.2346 0.2346 0.2963  7 Ga 2.55-2.78
Ga1 0.4003 0.4003 0.7990  3 Cu 2.55, 1 Ru 2.66
Ga2 0.8697 0.8697 0.3910  4 Cu 2.55-2.78, 3 Ru 2.59
Dy1 0.0000 0.0000 0.0000  6 Ga 2.99
Cu2 0.7654 0.7654 0.7037  7 Ga 2.55-2.78
Ga3 0.1303 0.1303 0.6090  4 Cu 2.55-2.78, 3 Ru 2.59
Ga4 0.5997 0.5997 0.2010  3 Cu 2.55, 1 Ru 2.66
Ru1 0.5000 0.5000 0.5000  8 Ga 2.59-2.66

ΔE_f in meV per atom: -295
Space group: R-3m (166)
Total magnetization in μB/cell: 0.0
Energy in eV for the cell shown: -36.540



Question: Which value of ΔE_f does entry 2 give?
Answer: -518 meV per atom